(1)
## KSrTl3 (PBE)

Data for crystalline KSrTl3 at its relaxed geometry.

POSCAR file:
```
KSrTl3
1.0
6.313 0.000 0.000
0.000 6.313 0.000
0.000 0.000 6.313
Sr Tl K
1 3 1
Direct
0.000 0.000 0.000 Sr
0.000 0.500 0.000 Tl
0.500 0.000 0.000 Tl
0.000 0.000 0.500 Tl
0.500 0.500 0.500 K
```

Results
crystal system: cubic
electronic total energy: -8.615 eV/cell
relative energy among the computed polymorphs: 0 meV/atom

---

(2)
## CsTi5Br12 (PBE)

Data for crystalline CsTi5Br12 at its relaxed geometry.

POSCAR file:
```
CsTi5Br12
1.0
8.454 0.236 -3.017
-4.365 7.285 -2.916
0.190 -0.236 8.974
Br Ti Cs
12 5 1
Direct
0.342 0.338 0.680 Br
0.658 0.662 0.320 Br
0.819 0.644 0.825 Br
0.658 0.338 0.996 Br
0.189 0.844 0.344 Br
0.342 0.662 0.004 Br
0.500 0.844 0.656 Br
0.819 0.994 0.175 Br
0.181 0.006 0.825 Br
0.811 0.156 0.656 Br
0.500 0.156 0.344 Br
0.181 0.356 0.175 Br
0.500 0.129 0.629 Ti
0.631 0.631 0.000 Ti
0.369 0.369 0.000 Ti
0.000 0.000 0.000 Ti
0.500 0.871 0.371 Ti
0.000 0.500 0.500 Cs
```

Results
crystal system: orthorhombic
energy relative to the elements, uncorrected: -24.4 kcal/mol of atoms
electronic total energy: -79.468 eV/cell

---

(3)
## TaNb3I9 (PBE)

Data for crystalline TaNb3I9 at its relaxed geometry.

POSCAR file:
```
TaNb3I9
1.0
9.474 0.000 3.987
4.363 9.110 2.881
0.805 -0.113 11.338
I Nb Ta
18 6 2
Direct
0.465 0.505 0.270 I
0.436 0.243 0.586 I
0.050 0.775 0.478 I
0.092 0.549 0.234 I
0.317 0.239 0.973 I
0.290 0.605 0.849 I
0.820 0.373 0.565 I
0.735 0.743 0.086 I
0.242 0.873 0.065 I
0.760 0.005 0.770 I
0.985 0.483 0.799 I
0.909 0.322 0.182 I
0.733 0.983 0.299 I
0.125 0.049 0.734 I
0.256 0.105 0.349 I
0.470 0.739 0.473 I
0.587 0.822 0.682 I
0.697 0.275 0.978 I
0.579 0.302 0.791 Nb
0.327 0.802 0.291 Nb
0.023 0.505 0.528 Nb
0.276 0.341 0.407 Nb
0.944 0.005 0.028 Nb
0.976 0.841 0.907 Nb
0.042 0.514 0.015 Ta
0.429 0.014 0.515 Ta
```

Results
crystal system: monoclinic
energy relative to the elements, uncorrected: -1.8 kcal/mol of atoms
electronic total energy: -114.089 eV/cell

---

(4)
## Tm2OsRh (PBE)

Data for crystalline Tm2OsRh at its relaxed geometry.

POSCAR file:
```
Tm2OsRh
1.0
-2.428 0.749 1.948
-0.040 -1.104 3.005
3.804 7.467 4.501
Tm Rh Os
2 1 1
Direct
0.909 0.909 0.273 Tm
0.091 0.091 0.727 Tm
0.000 0.000 0.000 Rh
0.500 0.500 0.500 Os
```

Results
crystal system: trigonal
electronic total energy: -26.789 eV/cell
relative energy among the computed polymorphs: 786 meV/atom

---

(5)
## LiPaS3 (PBE)

Data for crystalline LiPaS3 at its relaxed geometry.

POSCAR file:
```
LiPaS3
1.0
-5.683 -2.884 2.079
5.899 -2.921 1.267
0.630 5.065 8.747
Li S Pa
2 6 2
Direct
0.667 0.333 0.500 Li
0.333 0.667 0.500 Li
0.345 0.000 0.347 S
0.345 0.345 0.653 S
0.655 0.000 0.653 S
0.000 0.345 0.347 S
0.655 0.655 0.347 S
0.000 0.655 0.653 S
0.000 0.000 0.726 Pa
0.000 0.000 0.274 Pa
```

Results
crystal system: trigonal
energy relative to the elements, uncorrected: -17.2 kcal/mol of atoms
electronic total energy: -55.050 eV/cell
relative energy among the computed polymorphs: 750 meV/atom

---

(6)
## SbMo2Cl (PBE)

Data for crystalline SbMo2Cl at its relaxed geometry.

POSCAR file:
```
SbMo2Cl
1.0
3.228 0.000 0.000
0.000 3.228 0.000
0.000 0.000 6.516
Mo Sb Cl
2 1 1
Direct
0.000 0.000 0.995 Mo
0.000 0.000 0.505 Mo
0.500 0.500 0.250 Sb
0.500 0.500 0.750 Cl
```

Results
crystal system: tetragonal
energy relative to the elements, uncorrected: 13.7 kcal/mol of atoms
electronic total energy: -25.248 eV/cell
relative energy among the computed polymorphs: 696 meV/atom

---

(7)
## Pu6MgPb5 (PBE)

Data for crystalline Pu6MgPb5 at its relaxed geometry.

POSCAR file:
```
Pu6MgPb5
1.0
-4.609 -0.257 1.584
-2.969 -0.745 -8.758
4.348 -6.835 4.021
Pb Pu Mg
5 6 1
Direct
0.654 0.154 0.309 Pb
0.346 0.846 0.691 Pb
0.000 0.500 0.000 Pb
0.666 0.666 0.332 Pb
0.334 0.334 0.668 Pb
0.500 0.746 0.000 Pu
0.826 0.574 0.652 Pu
0.826 0.078 0.652 Pu
0.174 0.922 0.348 Pu
0.500 0.254 0.000 Pu
0.174 0.426 0.348 Pu
0.000 0.000 0.000 Mg
```

Results
crystal system: orthorhombic
electronic total energy: -106.824 eV/cell

---

(8)
## LaCrRe2 (PBE)

Data for crystalline LaCrRe2 at its relaxed geometry.

POSCAR file:
```
LaCrRe2
1.0
-4.932 0.439 -0.345
-0.428 -2.582 2.844
0.072 2.855 2.604
Cr Re La
1 2 1
Direct
0.500 0.500 0.000 Cr
0.000 0.500 0.500 Re
0.000 0.000 0.000 Re
0.500 0.000 0.500 La
```

Results
crystal system: tetragonal
electronic total energy: -35.777 eV/cell
relative energy among the computed polymorphs: 574 meV/atom

---

(9)
## YTm5TlIn2 (PBE)

Data for crystalline YTm5TlIn2 at its relaxed geometry.

POSCAR file:
```
YTm5TlIn2
1.0
8.460 0.000 0.000
0.000 8.460 0.000
-4.230 -4.230 7.134
Y Tm Tl In
2 10 2 4
Direct
0.250 0.750 0.500 Y
0.750 0.250 0.500 Y
0.500 0.500 0.000 Tm
0.154 0.078 0.732 Tm
0.922 0.422 0.268 Tm
0.846 0.922 0.268 Tm
0.654 0.154 0.732 Tm
0.422 0.346 0.268 Tm
0.346 0.846 0.268 Tm
0.000 0.000 0.000 Tm
0.078 0.578 0.732 Tm
0.578 0.654 0.732 Tm
0.250 0.250 0.500 Tl
0.750 0.750 0.500 Tl
0.389 0.889 0.000 In
0.889 0.611 0.000 In
0.111 0.389 0.000 In
0.611 0.111 0.000 In
```

Results
crystal system: tetragonal
electronic total energy: -73.364 eV/cell

---

(10)
## Li2PuNi9 (PBE)

Data for crystalline Li2PuNi9 at its relaxed geometry.

POSCAR file:
```
Li2PuNi9
1.0
-4.011 -0.948 2.272
3.344 -6.644 3.131
2.577 4.283 6.337
Ni Li Pu
18 4 2
Direct
0.757 0.319 0.181 Ni
0.243 0.681 0.819 Ni
0.500 0.562 0.290 Ni
0.243 0.181 0.681 Ni
0.500 0.790 0.062 Ni
0.500 0.000 0.500 Ni
0.243 0.319 0.181 Ni
0.500 0.210 0.938 Ni
0.500 0.290 0.438 Ni
0.243 0.819 0.319 Ni
0.500 0.710 0.562 Ni
0.757 0.819 0.319 Ni
0.500 0.500 0.000 Ni
0.500 0.938 0.790 Ni
0.757 0.681 0.819 Ni
0.757 0.181 0.681 Ni
0.500 0.438 0.710 Ni
0.500 0.062 0.210 Ni
0.000 0.113 0.387 Li
0.000 0.613 0.113 Li
0.000 0.887 0.613 Li
0.000 0.387 0.887 Li
0.000 0.000 0.000 Pu
0.000 0.500 0.500 Pu
```

Results
crystal system: tetragonal
electronic total energy: -141.851 eV/cell
relative energy among the computed polymorphs: 28 meV/atom

---

(11)
## HgSeI2 (PBE)

Data for crystalline HgSeI2 at its relaxed geometry.

POSCAR file:
```
HgSeI2
1.0
-1.411 -2.522 3.615
7.405 1.385 3.263
-6.492 6.943 1.588
Se Hg I
2 2 4
Direct
0.698 0.759 0.542 Se
0.302 0.241 0.458 Se
0.000 0.500 0.500 Hg
0.500 0.500 0.000 Hg
0.110 0.266 0.783 I
0.434 0.181 0.181 I
0.566 0.819 0.819 I
0.890 0.734 0.217 I
```

Results
crystal system: triclinic
energy relative to the elements, uncorrected: -2.0 kcal/mol of atoms
electronic total energy: -14.453 eV/cell
relative energy among the computed polymorphs: 79 meV/atom

---

(12)
## Sc2VGaN (PBE)

Data for crystalline Sc2VGaN at its relaxed geometry.

POSCAR file:
```
Sc2VGaN
1.0
4.437 0.000 0.000
0.000 4.437 0.000
0.000 0.000 3.910
V N Ga Sc
1 1 1 2
Direct
0.000 0.000 0.500 V
0.000 0.000 0.000 N
0.500 0.500 0.500 Ga
0.000 0.500 0.000 Sc
0.500 0.000 0.000 Sc
```

Results
crystal system: tetragonal
energy relative to the elements, uncorrected: -21.7 kcal/mol of atoms
electronic total energy: -37.845 eV/cell